Entry 1:
The following is a DFT calculation (GGA-PBEsol) of LaCdTc2 after structural relaxation.

Summary:
* spin magnetization: 0.0 Bohr magnetons per cell
* E_tot: -6.677 eV per atom
* calculated volume: 17.75 Å³ per atom
* ΔE_f: 591.8 meV per atom
* symmetry: No. 65

abc: 2.977 2.977 8.904
angles: 90.00 90.00 115.88
Positions (direct):
Cd 0.500 0.500 0.500
Tc 0.000 0.000 0.757
Tc 0.000 0.000 0.243
La 0.500 0.500 0.000



Entry 2:
The following is a DFT calculation (GGA-PBEsol) of YPRhO2 after structural relaxation.

Summary:
* spin magnetization: 2.6 Bohr magnetons per cell
* E_tot: -6.502 eV per atom
* calculated volume: 18.81 Å³ per atom
* ΔE_f (raw): -0.252 eV/atom
* symmetry: No. 123

abc: 3.984 3.984 5.925
angles: 90.00 90.00 90.00
Last column: magnetic moment on the atom in μB.
Positions (direct):
O 0.000 0.500 0.000  0.49
O 0.500 0.000 0.000  0.49
Y 0.000 0.000 0.000  0.26
Rh 0.500 0.500 0.500  0.99
P 0.000 0.000 0.500  0.16



Entry 3:
The following is a DFT calculation (GGA-PBEsol) of AlTePdCl2 after structural relaxation.

Summary:
* spin magnetization: 0.0 Bohr magnetons per cell
* E_tot: -3.810 eV per atom
* calculated volume: 22.11 Å³ per atom
* ΔE_f (raw): -0.292 eV/atom
* symmetry: No. 123

abc: 4.375 4.375 5.775
angles: 90.00 90.00 90.00
Positions (direct):
Cl 0.500 0.000 0.000
Cl 0.000 0.500 0.000
Te 0.000 0.000 0.500
Al 0.000 0.000 0.000
Pd 0.500 0.500 0.500



Entry 4:
The following is a DFT calculation (GGA-PBEsol) of CrCdS2Cl after structural relaxation.

Summary:
* spin magnetization: 3.8 Bohr magnetons per cell
* E_tot: -3.903 eV per atom
* calculated volume: 23.88 Å³ per atom
* ΔE_f (raw): 0.540 eV/atom
* symmetry: No. 123

abc: 4.890 4.890 4.993
angles: 90.00 90.00 90.00
Last column: magnetic moment on the atom in μB.
Positions (direct):
S 0.000 0.500 0.000  -0.24
S 0.500 0.000 0.000  -0.24
Cd 0.000 0.000 0.000  -0.01
Cr 0.500 0.500 0.500  4.09
Cl 0.000 0.000 0.500  -0.01



Entry 5:
The following is a DFT calculation (GGA-PBEsol) of LaInP2Pb after structural relaxation.

Summary:
* spin magnetization: 0.0 Bohr magnetons per cell
* E_tot: -4.490 eV per atom
* calculated volume: 27.24 Å³ per atom
* ΔE_f: 292.5 meV per atom
* symmetry: No. 123

abc: 5.020 5.020 5.403
angles: 90.00 90.00 90.00
Positions (direct):
In 0.000 0.000 0.000
P 0.500 0.000 0.000
P 0.000 0.500 0.000
La 0.500 0.500 0.500
Pb 0.000 0.000 0.500



Entry 6:
The following is a DFT calculation (GGA-PBEsol) of CsInCu6O8 after structural relaxation.

Summary:
* spin magnetization: 0.0 Bohr magnetons per cell
* E_tot: -5.275 eV per atom
* calculated volume: 12.29 Å³ per atom
* ΔE_f (raw): -0.780 eV/atom
* symmetry: No. 225

abc: 6.528 6.528 6.528
angles: 60.00 60.00 60.00
Positions (direct):
In 0.000 0.000 0.000
Cu 0.500 0.000 0.000
Cu 0.000 0.000 0.500
Cu 0.000 0.500 0.000
Cu 0.500 0.000 0.500
Cu 0.500 0.500 0.000
Cu 0.000 0.500 0.500
O 0.143 0.143 0.572
O 0.857 0.857 0.857
O 0.857 0.428 0.857
O 0.143 0.572 0.143
O 0.143 0.143 0.143
O 0.428 0.857 0.857
O 0.572 0.143 0.143
O 0.857 0.857 0.428
Cs 0.500 0.500 0.500



Entry 7:
The following is a DFT calculation (GGA-PBEsol) of YZnSb4 after structural relaxation.

Summary:
* spin magnetization: 0.0 Bohr magnetons per cell
* E_tot: -4.384 eV per atom
* calculated volume: 27.16 Å³ per atom
* ΔE_f (raw): 0.055 eV/atom
* symmetry: No. 216

abc: 6.131 6.131 6.131
angles: 60.00 60.00 60.00
Positions (direct):
Zn 0.000 0.000 0.000
Sb 0.626 0.626 0.626
Sb 0.626 0.123 0.626
Sb 0.123 0.626 0.626
Sb 0.626 0.626 0.123
Y 0.250 0.250 0.250



Entry 8:
The following is a DFT calculation (GGA-PBEsol) of BaMoIr2 after structural relaxation.

Summary:
* spin magnetization: 0.0 Bohr magnetons per cell
* E_tot: -8.208 eV per atom
* calculated volume: 19.07 Å³ per atom
* ΔE_f: 182.7 meV per atom
* symmetry: No. 123

abc: 3.062 3.062 8.133
angles: 90.00 90.00 90.00
Positions (direct):
Ir 0.000 0.000 0.813
Ir 0.000 0.000 0.187
Ba 0.500 0.500 0.500
Mo 0.500 0.500 0.000



> Which value of spin magnetization does entry 2 give?

2.6 Bohr magnetons per cell